A geometry-optimized Na2Cd2InSnPd2 structure. Source: OQMD, functional PBE.

```
8
Lattice="-3.188 -2.198 2.871 3.504 -0.933 3.177 -1.262 5.916 3.129" Properties=species:S:1:pos:R:3 pbc="T T T"
Sn -0.473 1.392 4.588
Cd 0.158 -1.566 3.024
Cd -0.631 2.958 1.564
Na 0.805 3.975 3.937
Na -1.909 0.375 2.215
Pd -2.539 3.331 3.778
Pd 1.435 1.019 2.374
In 0.000 0.000 0.000
```

Values from the calculation:
* E_tot: -0.1084 Ha/atom
* crystal system: tetragonal
* theoretical density: 7.52 g/cm3